1.
# Na4Zr3NpSe8 | Alexandria | GGA-PBE | relaxed
# * space-group type: R-3m, No. 166
# * electronic total energy: -5.757 eV/atom
# * formation energy from raw total energies: -1273 meV per atom
# * Fermi-level density of states: 13.79 states/eV/f.u.
# * magnetic moment: 4.54 μB per cell
data_Na4Zr3NpSe8
_chemical_formula_sum 'Na4 Zr3 Np1 Se8'
_cell_length_a 8.476
_cell_length_b 8.476
_cell_length_c 8.476
_cell_angle_alpha 55.08
_cell_angle_beta 55.08
_cell_angle_gamma 55.08
_space_group_name_H-M_alt 'P 1'
_space_group_IT_number 1
_space_group_name_Hall 'P 1'
loop_
_atom_site_label
_atom_site_type_symbol
_atom_site_fract_x
_atom_site_fract_y
_atom_site_fract_z
Na1 Na 0.000 0.000 0.000
Na2 Na 0.000 0.500 0.500
Na3 Na 0.500 0.000 0.500
Na4 Na 0.500 0.500 0.000
Zr1 Zr 0.000 0.000 0.500
Zr2 Zr 0.000 0.500 0.000
Zr3 Zr 0.500 0.000 0.000
Np1 Np 0.500 0.500 0.500
Se1 Se 0.232 0.749 0.749
Se2 Se 0.242 0.242 0.242
Se3 Se 0.251 0.251 0.768
Se4 Se 0.251 0.768 0.251
Se5 Se 0.749 0.232 0.749
Se6 Se 0.749 0.749 0.232
Se7 Se 0.758 0.758 0.758
Se8 Se 0.768 0.251 0.251


2.
# Li3HSe2 | Alexandria | GGA-PBE | relaxed
# * space-group type: Ibam, No. 72
# * electronic total energy: -3.543 eV/atom
# * Fermi-level density of states: 0.00 states/eV/f.u.
# * magnetic moment: 0.00 μB per cell
data_Li3HSe2
_chemical_formula_sum 'Li6 H2 Se4'
_cell_length_a 7.040
_cell_length_b 7.040
_cell_length_c 7.040
_cell_angle_alpha 132.84
_cell_angle_beta 74.63
_cell_angle_gamma 125.80
_space_group_name_H-M_alt 'P 1'
_space_group_IT_number 1
_space_group_name_Hall 'P 1'
loop_
_atom_site_label
_atom_site_type_symbol
_atom_site_fract_x
_atom_site_fract_y
_atom_site_fract_z
Li1 Li 0.003 0.750 0.253
Li2 Li 0.250 0.250 0.000
Li3 Li 0.497 0.750 0.747
Li4 Li 0.503 0.250 0.253
Li5 Li 0.750 0.750 0.000
Li6 Li 0.997 0.250 0.747
H1 H 0.000 0.500 0.500
H2 H 0.500 0.000 0.500
Se1 Se 0.116 0.728 0.844
Se2 Se 0.384 0.228 0.612
Se3 Se 0.616 0.772 0.388
Se4 Se 0.884 0.272 0.156


3.
# TbPr2Dy | Alexandria | GGA-PBE | relaxed
# * space-group type: Fm-3m, No. 225
# * electronic total energy: -4.586 eV/atom
# * ΔE_f: 0.1121 eV/atom
# * distance to the lowest polymorph of the same formula: 101 meV per atom
# * Fermi-level density of states: 7.56 states/eV/f.u.
# * magnetic moment: 0.00 μB per cell
data_TbPr2Dy
_chemical_formula_sum 'Tb4 Pr8 Dy4'
_cell_length_a 8.164
_cell_length_b 8.164
_cell_length_c 8.164
_cell_angle_alpha 90.00
_cell_angle_beta 90.00
_cell_angle_gamma 90.00
_space_group_name_H-M_alt 'P 1'
_space_group_IT_number 1
_space_group_name_Hall 'P 1'
loop_
_atom_site_label
_atom_site_type_symbol
_atom_site_fract_x
_atom_site_fract_y
_atom_site_fract_z
Tb1 Tb 0.000 0.000 0.000
Tb2 Tb 0.000 0.500 0.500
Tb3 Tb 0.500 0.000 0.500
Tb4 Tb 0.500 0.500 0.000
Pr1 Pr 0.250 0.250 0.250
Pr2 Pr 0.250 0.250 0.750
Pr3 Pr 0.250 0.750 0.250
Pr4 Pr 0.250 0.750 0.750
Pr5 Pr 0.750 0.250 0.250
Pr6 Pr 0.750 0.250 0.750
Pr7 Pr 0.750 0.750 0.250
Pr8 Pr 0.750 0.750 0.750
Dy1 Dy 0.000 0.000 0.500
Dy2 Dy 0.000 0.500 0.000
Dy3 Dy 0.500 0.000 0.000
Dy4 Dy 0.500 0.500 0.500


4.
# ScZn | Alexandria | GGA-PBE | relaxed
# * space-group type: Pnma, No. 62
# * electronic total energy: -4.133 eV/atom
# * ΔE_f: -0.3299 eV/atom
# * Fermi-level density of states: 1.63 states/eV/f.u.
# * magnetic moment: 0.00 μB per cell
data_ScZn
_chemical_formula_sum 'Sc8 Zn8'
_cell_length_a 11.022
_cell_length_b 4.707
_cell_length_c 5.784
_cell_angle_alpha 90.00
_cell_angle_beta 90.00
_cell_angle_gamma 90.00
_space_group_name_H-M_alt 'P 1'
_space_group_IT_number 1
_space_group_name_Hall 'P 1'
loop_
_atom_site_label
_atom_site_type_symbol
_atom_site_fract_x
_atom_site_fract_y
_atom_site_fract_z
Sc1 Sc 0.049 0.250 0.179
Sc2 Sc 0.175 0.750 0.452
Sc3 Sc 0.325 0.250 0.952
Sc4 Sc 0.451 0.750 0.679
Sc5 Sc 0.549 0.250 0.321
Sc6 Sc 0.675 0.750 0.048
Sc7 Sc 0.825 0.250 0.548
Sc8 Sc 0.951 0.750 0.821
Zn1 Zn 0.096 0.250 0.688
Zn2 Zn 0.190 0.750 0.944
Zn3 Zn 0.310 0.250 0.444
Zn4 Zn 0.404 0.750 0.188
Zn5 Zn 0.596 0.250 0.812
Zn6 Zn 0.690 0.750 0.556
Zn7 Zn 0.810 0.250 0.056
Zn8 Zn 0.904 0.750 0.312


5.
# CuAsO2F | Alexandria | GGA-PBE | relaxed
# * space-group type: P4/mmm, No. 123
# * electronic total energy: -4.704 eV/atom
# * formation energy from raw total energies: -597 meV per atom
# * Fermi-level density of states: 0.84 states/eV/f.u.
# * magnetic moment: 0.00 μB per cell
data_CuAsO2F
_chemical_formula_sum 'Cu1 As1 O2 F1'
_cell_length_a 3.828
_cell_length_b 3.828
_cell_length_c 4.101
_cell_angle_alpha 90.00
_cell_angle_beta 90.00
_cell_angle_gamma 90.00
_space_group_name_H-M_alt 'P 1'
_space_group_IT_number 1
_space_group_name_Hall 'P 1'
loop_
_atom_site_label
_atom_site_type_symbol
_atom_site_fract_x
_atom_site_fract_y
_atom_site_fract_z
Cu1 Cu 0.000 0.000 0.000
As1 As 0.500 0.500 0.500
O1 O 0.000 0.500 0.500
O2 O 0.500 0.000 0.500
F1 F 0.500 0.500 0.000


6.
# Pm4SiS3 | Alexandria | GGA-PBE | relaxed
# * space-group type: Pm-3m, No. 221
# * electronic total energy: -6.357 eV/atom
# * formation energy from raw total energies: -1756 meV per atom
# * Fermi-level density of states: 3.81 states/eV/f.u.
# * magnetic moment: 0.00 μB per cell
data_Pm4SiS3
_chemical_formula_sum 'Pm4 Si1 S3'
_cell_length_a 5.779
_cell_length_b 5.779
_cell_length_c 5.779
_cell_angle_alpha 90.00
_cell_angle_beta 90.00
_cell_angle_gamma 90.00
_space_group_name_H-M_alt 'P 1'
_space_group_IT_number 1
_space_group_name_Hall 'P 1'
loop_
_atom_site_label
_atom_site_type_symbol
_atom_site_fract_x
_atom_site_fract_y
_atom_site_fract_z
Pm1 Pm 0.000 0.000 0.000
Pm2 Pm 0.000 0.500 0.500
Pm3 Pm 0.500 0.000 0.500
Pm4 Pm 0.500 0.500 0.000
Si1 Si 0.500 0.500 0.500
S1 S 0.000 0.000 0.500
S2 S 0.000 0.500 0.000
S3 S 0.500 0.000 0.000


> What is the formula in the fifth record?

CuAsO2F


Copy entry 5 word for word.
# CuAsO2F | Alexandria | GGA-PBE | relaxed
# * space-group type: P4/mmm, No. 123
# * electronic total energy: -4.704 eV/atom
# * formation energy from raw total energies: -597 meV per atom
# * Fermi-level density of states: 0.84 states/eV/f.u.
# * magnetic moment: 0.00 μB per cell
data_CuAsO2F
_chemical_formula_sum 'Cu1 As1 O2 F1'
_cell_length_a 3.828
_cell_length_b 3.828
_cell_length_c 4.101
_cell_angle_alpha 90.00
_cell_angle_beta 90.00
_cell_angle_gamma 90.00
_space_group_name_H-M_alt 'P 1'
_space_group_IT_number 1
_space_group_name_Hall 'P 1'
loop_
_atom_site_label
_atom_site_type_symbol
_atom_site_fract_x
_atom_site_fract_y
_atom_site_fract_z
Cu1 Cu 0.000 0.000 0.000
As1 As 0.500 0.500 0.500
O1 O 0.000 0.500 0.500
O2 O 0.500 0.000 0.500
F1 F 0.500 0.500 0.000